Compound: Na2TlInCl6
Source: Alexandria via LeMat-Bulk
Functional: PBE
Structure: relaxed

spin magnetization: 0.000 μB/f.u.
formation energy from raw total energies: -132.2 kJ per mole of atoms
DOS at the Fermi energy: 0.0 states/eV/f.u.
ρ: 3.3 g/cm3
crystal system: trigonal

Cell lengths 7.723, 7.723, 7.723 Å; angles 55.06, 55.06, 55.06 degrees
Fractional positions:
Na 0.000 0.000 0.000
Na 0.483 0.483 0.483
Tl 0.197 0.197 0.197
In 0.678 0.678 0.678
Cl 0.048 0.442 0.751
Cl 0.295 0.852 0.637
Cl 0.442 0.751 0.048
Cl 0.637 0.295 0.852
Cl 0.751 0.048 0.442
Cl 0.852 0.637 0.295